Entry from the Alexandria database: a crystal of Rh2WAu relaxed with PBEsol (SCAN).

Results
Its calculated total energy is -51.4625 eV per atom. Its space-group type is P2/m, No. 10. The formation energy comes out at 0.13 eV per atom.

```
Rh2WAu
1.0
2.7648 0.0000 0.0000
0.0000 4.7321 0.0113
0.0000 -1.7714 4.4993
Rh Au W
2 1 1
direct
0.5000 0.0000 0.5000
0.0000 0.0000 0.0000
0.0000 0.5000 0.5000
0.5000 0.5000 0.0000
```



Entry from the Alexandria database: a crystal of Ba3P2 relaxed with PBEsol (SCAN).

Results
Its calculated total energy is -29.0608 eV per atom. Its space-group type is I-42d, No. 122. The formation energy comes out at -1.17 eV per atom.

```
Ba3P2
1.0
9.7209 0.0000 0.0000
0.0000 9.7209 0.0000
-4.8604 -4.8604 14.5812
Ba P
24 16
direct
0.2906 0.6709 0.7184
0.1028 0.6831 0.0368
0.6463 0.8972 0.9632
0.9209 0.0406 0.2184
0.3169 0.0660 0.9632
0.6216 0.4970 0.8702
0.9525 0.7094 0.2816
0.3160 0.0669 0.4632
0.6037 0.6840 0.5368
0.9340 0.3537 0.0368
0.8223 0.0791 0.7816
0.7470 0.3716 0.3702
0.9594 0.7025 0.7816
0.2975 0.1777 0.2184
0.3291 0.5723 0.2816
0.6232 0.9986 0.3702
0.9331 0.8528 0.5368
0.0014 0.2530 0.6298
0.4277 0.0475 0.7184
0.6268 0.3784 0.1298
0.6284 0.3768 0.6298
0.2486 0.3732 0.8702
0.5030 0.7514 0.1298
0.1472 0.3963 0.4632
0.5977 0.2013 0.9228
0.7987 0.6750 0.0772
0.5846 0.0846 0.1693
0.3346 0.3346 0.6693
0.6654 0.6654 0.3307
0.2786 0.4023 0.0772
0.6250 0.7534 0.7500
0.1250 0.9966 0.7500
0.4513 0.3477 0.4228
0.9154 0.4154 0.8307
0.2466 0.8750 0.2500
0.9714 0.0750 0.4228
0.9250 0.5487 0.5772
0.6523 0.0286 0.5772
0.3250 0.7214 0.9228
0.0034 0.3750 0.2500
```



Entry from the Alexandria database: a crystal of ZrHgAs2 relaxed with PBEsol (SCAN).

Results
Its calculated total energy is -35.1046 eV per atom. Its space-group type is C2/m, No. 12. The formation energy comes out at -0.29 eV per atom.

```
ZrHgAs2
1.0
-1.6379 0.3758 -2.8908
1.9978 -4.6074 0.2030
-4.6247 -0.8708 2.5071
As Hg Zr
2 1 1
direct
0.7340 0.4680 0.6775
0.2660 0.5320 0.3225
0.5000 0.0000 0.0000
0.0000 0.0000 0.5000
```



Entry from the Alexandria database: a crystal of ErAl10Fe2 relaxed with PBEsol (SCAN).

Results
Its calculated total energy is -12.9600 eV per atom. Its space-group type is Cmcm, No. 63. The formation energy comes out at -0.34 eV per atom.

```
ErAl10Fe2
1.0
6.6916 -0.0006 0.0000
-0.8468 6.6378 0.0000
0.0000 0.0000 8.8686
Al Er Fe
20 2 4
direct
0.2192 0.4773 0.7500
0.1343 0.4158 0.2500
0.6259 0.3741 0.5492
0.4158 0.1343 0.7500
0.5842 0.8657 0.2500
0.4773 0.2192 0.2500
0.5227 0.7808 0.7500
0.8429 0.1571 0.0965
0.3741 0.6259 0.4508
0.2269 0.2269 0.5000
0.7731 0.7731 0.0000
0.7808 0.5227 0.2500
0.3741 0.6259 0.0492
0.2269 0.2269 0.0000
0.8429 0.1571 0.4035
0.8657 0.5842 0.7500
0.1571 0.8429 0.9035
0.1571 0.8429 0.5965
0.7731 0.7731 0.5000
0.6259 0.3741 0.9508
0.8735 0.1265 0.7500
0.1265 0.8735 0.2500
0.0000 0.5000 0.5000
0.5000 0.0000 0.0000
0.0000 0.5000 0.0000
0.5000 0.0000 0.5000
```



Entry from the Alexandria database: a crystal of BaPt13 relaxed with PBEsol (SCAN).

Results
Its calculated total energy is -68.1360 eV per atom. Its space-group type is Fm-3c, No. 226. The formation energy comes out at -0.13 eV per atom.

```
BaPt13
1.0
-2.8735 -1.8994 8.1407
-3.3396 -7.9939 1.7551
4.5143 -5.6596 5.0720
Pt Ba
26 2
direct
0.8000 0.4352 0.2000
0.9352 0.3000 0.7000
0.7000 0.3000 0.0648
0.2000 0.8000 0.4352
0.8000 0.5648 0.4352
0.4352 0.5648 0.2000
0.5648 0.2000 0.4352
0.3000 0.9352 0.0648
0.7000 0.9352 0.3000
0.0000 0.0000 0.0000
0.0648 0.3000 0.9352
0.9352 0.0648 0.3000
0.2000 0.5648 0.8000
0.0648 0.9352 0.7000
0.3000 0.7000 0.9352
0.0648 0.7000 0.3000
0.9352 0.7000 0.0648
0.5648 0.8000 0.2000
0.8000 0.2000 0.5648
0.7000 0.0648 0.9352
0.5000 0.5000 0.5000
0.4352 0.8000 0.5648
0.2000 0.4352 0.5648
0.4352 0.2000 0.8000
0.5648 0.4352 0.8000
0.3000 0.0648 0.7000
0.2500 0.2500 0.2500
0.7500 0.7500 0.7500
```



Entry from the Alexandria database: a crystal of CoReAg4 relaxed with PBEsol (SCAN).

Results
Its calculated total energy is -34.6411 eV per atom. Its space-group type is F-43m, No. 216. The formation energy comes out at 1.00 eV per atom.

```
CoReAg4
1.0
5.1562 0.0000 0.0000
2.5781 4.4654 0.0000
2.5781 1.4885 4.2100
Ag Re Co
4 1 1
direct
0.1249 0.6250 0.6250
0.6250 0.1249 0.6250
0.6250 0.6250 0.6250
0.6250 0.6250 0.1249
0.0000 0.0000 0.0000
0.2500 0.2500 0.2500
```



Entry from the Alexandria database: a crystal of Li4YAl relaxed with PBEsol (SCAN).

Results
Its calculated total energy is -7.5701 eV per atom. Its space-group type is F-43m, No. 216. The formation energy comes out at -0.04 eV per atom.

```
Li4YAl
1.0
-3.0037 -0.4799 4.4208
-1.0929 -4.8637 1.9863
2.2447 -1.5818 4.6103
Li Al Y
4 1 1
direct
0.3736 0.3736 0.3736
0.8793 0.3736 0.3736
0.3736 0.8793 0.3736
0.3736 0.3736 0.8793
0.0000 0.0000 0.0000
0.7500 0.7500 0.7500
```



Entry from the Alexandria database: a crystal of BePt relaxed with PBEsol (SCAN).

Results
Its calculated total energy is -37.9648 eV per atom. Its space-group type is P-6m2, No. 187. The formation energy comes out at -0.69 eV per atom.

```
BePt
1.0
2.8320 0.0000 0.0000
-1.4160 2.4526 0.0000
0.0000 0.0000 3.4125
Pt Be
1 1
direct
0.6667 0.3333 0.5000
0.0000 0.0000 0.0000
```



Entry from the Alexandria database: a crystal of LaMgAu2 relaxed with PBEsol (SCAN).

Results
Its calculated total energy is -47.4467 eV per atom. Its space-group type is P4/mmm, No. 123. The formation energy comes out at -0.85 eV per atom.

```
LaMgAu2
1.0
-2.9409 0.3448 -1.6404
1.6316 -0.1705 -2.9610
-0.8343 -7.3019 -0.0393
Au Mg La
2 1 1
direct
0.0000 0.0000 0.7104
0.0000 0.0000 0.2896
0.5000 0.5000 0.5000
0.5000 0.5000 0.0000
```



Entry from the Alexandria database: a crystal of Cu2MoPb relaxed with PBEsol (SCAN).

Results
Its calculated total energy is -34.6617 eV per atom. Its space-group type is Imm2, No. 44. The formation energy comes out at 0.60 eV per atom.

```
Cu2MoPb
1.0
-0.7850 -2.1243 -2.0037
-1.8126 -2.4559 3.3139
-2.6677 4.3572 -1.2927
Cu Mo Pb
2 1 1
direct
0.2689 0.7689 0.5379
0.9814 0.9814 0.9629
0.5145 0.5145 0.0289
0.7352 0.2352 0.4703
```



Entry from the Alexandria database: a crystal of ReSiSb2 relaxed with PBEsol (SCAN).

Results
Its formation energy without anion corrections is 371 kJ/mol of formula units. Its calculated total energy is -37.9474 eV per atom. Its space-group type is Cmmm, No. 65.

```
ReSiSb2
1.0
-2.8291 0.2610 1.0545
2.1421 -0.5270 2.0779
1.2811 9.4928 1.0872
Sb Re Si
2 1 1
direct
0.0000 0.0000 0.7713
0.0000 0.0000 0.2287
0.5000 0.5000 0.0000
0.5000 0.5000 0.5000
```



Entry from the Alexandria database: a crystal of Zr3SbH relaxed with PBEsol (SCAN).

Results
Its calculated total energy is -27.1334 eV per atom. Its space-group type is Pm-3m, No. 221.

```
Zr3SbH
1.0
4.4094 0.0000 0.0000
0.0000 4.4094 0.0000
0.0000 0.0000 4.4094
Sb Zr H
1 3 1
direct
0.5000 0.5000 0.5000
0.5000 0.0000 0.0000
0.0000 0.5000 0.0000
0.0000 0.0000 0.5000
0.0000 0.0000 0.0000
```